VASP calculation (PBE) on crystalline TbNi2Ge2Ir at its relaxed geometry.

POSCAR file:
```
TbNi2Ge2Ir
1.0
-3.732 2.210 -1.775
1.187 -1.447 -4.296
-2.921 -4.392 0.673
Ni Ge Ir Tb
2 2 1 1
direct
0.500 0.500 0.747
0.500 0.500 0.253
0.000 0.500 0.000
0.500 0.000 0.000
0.000 0.000 0.000
0.000 0.000 0.500
```

Results
Space-group type = P4/mmm, No. 123
Energy of formation = 0.9 kJ/mol of atoms